No. 1
Er6Te3As2S PBE-GGA relaxed; symmetry = C2/m; total moment = 0.00 μB/cell; ΔE_f (raw) = -1503 meV per atom
1.0
-3.124 0.498 -2.645
4.914 -2.679 -6.307
-2.460 -7.794 4.652
Er Te As S
6 3 2 1
Direct
0.346 0.903 0.692 Er
0.673 0.563 0.347 Er
0.654 0.097 0.308 Er
0.006 0.220 0.013 Er
0.994 0.780 0.987 Er
0.327 0.437 0.653 Er
0.500 0.500 0.000 Te
0.832 0.166 0.664 Te
0.168 0.834 0.336 Te
0.834 0.669 0.668 As
0.166 0.331 0.332 As
0.500 0.000 0.000 S

No. 2
Er4TeAsS2 PBE-GGA relaxed; symmetry = P2/m; total moment = 0.00 μB/cell; ΔE_f (raw) = -1665 meV per atom
1.0
4.003 0.000 0.000
0.000 6.992 -0.162
0.000 2.441 6.604
Er Te As S
4 1 1 2
Direct
0.000 0.782 0.719 Er
0.000 0.218 0.281 Er
0.500 0.765 0.264 Er
0.500 0.235 0.736 Er
0.500 0.500 0.000 Te
0.000 0.500 0.500 As
0.000 0.000 0.000 S
0.500 0.000 0.500 S

No. 3
Er4Te2AsS PBE-GGA relaxed; symmetry = P2/m; total moment = 0.00 μB/cell; ΔE_f (raw) = -1529 meV per atom
1.0
4.102 0.000 0.000
0.000 7.364 -0.239
0.000 2.499 6.621
Er Te As S
4 2 1 1
Direct
0.000 0.707 0.770 Er
0.000 0.293 0.230 Er
0.500 0.711 0.258 Er
0.500 0.289 0.742 Er
0.000 0.000 0.000 Te
0.500 0.000 0.500 Te
0.000 0.500 0.500 As
0.500 0.500 0.000 S

No. 4
Er8Te3AsS3 PBE-GGA relaxed; symmetry = R-3m; total moment = 0.00 μB/cell; ΔE_f (raw) = -1464 meV per atom
1.0
8.029 0.000 0.000
-4.015 6.954 -0.025
0.000 -4.611 6.857
Er Te As S
8 3 1 3
Direct
0.267 0.533 0.300 Er
0.733 0.467 0.700 Er
0.755 0.511 0.284 Er
0.245 0.489 0.716 Er
0.755 0.028 0.284 Er
0.245 0.972 0.716 Er
0.273 0.028 0.284 Er
0.727 0.972 0.716 Er
0.000 0.000 0.000 Te
0.000 0.500 0.000 Te
0.500 0.500 0.000 Te
0.000 0.000 0.500 As
0.500 0.000 0.500 S
0.500 0.500 0.500 S
0.000 0.500 0.500 S

No. 5
ErThAsS PBE-GGA relaxed; symmetry = P4/mmm; total moment = 0.00 μB/cell; ΔE_f (raw) = -1656 meV per atom
1.0
-1.518 2.611 2.696
-2.454 -2.891 1.419
4.098 -1.589 3.847
Er Th As S
1 1 1 1
Direct
0.000 0.891 0.092 Er
0.500 0.392 0.593 Th
0.500 0.391 0.093 As
0.000 0.892 0.592 S

No. 6
ErTl2AsS4 PBE-GGA relaxed; symmetry = Imma; total moment = 0.00 μB/cell; ΔE_f (raw) = -763 meV per atom
1.0
-0.371 -8.159 -0.979
8.000 -0.572 1.826
-5.118 3.723 5.205
Er Tl As S
2 4 2 8
Direct
0.000 0.500 0.000 Er
0.000 0.500 0.500 Er
0.500 0.000 0.000 Tl
0.500 0.000 0.500 Tl
0.000 0.000 0.500 Tl
0.500 0.500 0.000 Tl
0.500 0.500 0.500 As
0.000 0.000 0.000 As
0.197 0.740 0.969 S
0.760 0.303 0.531 S
0.240 0.697 0.469 S
0.803 0.260 0.031 S
0.764 0.735 0.961 S
0.765 0.736 0.539 S
0.235 0.264 0.461 S
0.236 0.265 0.039 S

No. 7
ErUAsS2 PBE-GGA relaxed; symmetry = I4mm; total moment = 2.00 μB/cell; ΔE_f (raw) = -997 meV per atom
1.0
4.179 0.000 0.000
0.000 4.179 0.000
-2.090 -2.090 6.669
Er U As S
1 1 1 2
Direct
0.869 0.869 0.738 Er
0.123 0.123 0.245 U
0.511 0.511 0.023 As
0.749 0.249 0.497 S
0.249 0.749 0.497 S

No. 8
ErZnAsS PBE-GGA relaxed; symmetry = R-3m; total moment = 0.00 μB/cell; ΔE_f (raw) = -1113 meV per atom
1.0
4.270 0.000 0.000
2.135 3.698 0.000
2.135 1.233 11.098
Er Zn As S
2 2 2 2
Direct
0.109 0.109 0.672 Er
0.891 0.891 0.328 Er
0.694 0.694 0.918 Zn
0.306 0.306 0.082 Zn
0.616 0.616 0.153 As
0.384 0.384 0.847 As
0.803 0.803 0.592 S
0.197 0.197 0.408 S